1.
The following is a GGA-PBE calculation of Ba3Ni after structural relaxation, from Alexandria via LeMat-Bulk.

total moment	0.005	μB per atom
space group	P6_3/mmc (194)
N(E_F)	6.57	states/eV/f.u.
formation energy	0.93	eV/f.u.

POSCAR file:
```
Ba3Ni
1.0
5.3137 -9.2036 0.0000
5.3137 9.2036 0.0000
0.0000 0.0000 4.2638
Ni Ba
2 6
direct
0.3333 0.6667 0.2500
0.6667 0.3333 0.7500
0.7912 0.2088 0.2500
0.4177 0.2088 0.2500
0.7912 0.5823 0.2500
0.2088 0.7912 0.7500
0.2088 0.4177 0.7500
0.5823 0.7912 0.7500
```

***

2.
The following is a GGA-PBE calculation of Ti2V2Zn after structural relaxation, from Alexandria via LeMat-Bulk.

polymorph energy (0 for the lowest one)	136	meV/atom
total moment	0.181	μB per atom
space group	P4/mbm (127)
N(E_F)	4.68	states/eV/f.u.
formation energy	1.12	eV/f.u.

POSCAR file:
```
Ti2V2Zn
1.0
6.8145 0.0000 0.0000
0.0000 6.8145 0.0000
0.0000 0.0000 3.3509
Ti V Zn
4 4 2
direct
0.1366 0.3634 0.0000
0.6366 0.1366 0.0000
0.8634 0.6366 0.0000
0.3634 0.8634 0.0000
0.3359 0.1641 0.5000
0.8359 0.3359 0.5000
0.1641 0.6641 0.5000
0.6641 0.8359 0.5000
0.0000 0.0000 0.0000
0.5000 0.5000 0.0000
```

***

3.
The following is a GGA-PBE calculation of PrSm5Tl4 after structural relaxation, from Alexandria via LeMat-Bulk.

total moment	0.000	μB per atom
space group	P4/mmm (123)
N(E_F)	9.82	states/eV/f.u.
formation energy	-2.94	eV/f.u.

POSCAR file:
```
PrSm5Tl4
1.0
3.6342 0.0000 0.0000
0.0000 3.6342 0.0000
0.0000 0.0000 22.6777
Sm Tl Pr
5 4 1
direct
0.5000 0.5000 0.1166
0.5000 0.5000 0.5000
0.5000 0.5000 0.3077
0.5000 0.5000 0.8834
0.5000 0.5000 0.6923
0.0000 0.0000 0.2114
0.0000 0.0000 0.7886
0.0000 0.0000 0.5963
0.0000 0.0000 0.4037
0.0000 0.0000 0.0000
```

***

4.
The following is a GGA-PBE calculation of Y3TmPt2 after structural relaxation, from Alexandria via LeMat-Bulk.

total moment	0.000	μB per atom
space group	Pmc2_1 (26)
N(E_F)	6.22	states/eV/f.u.
formation energy	-5.68	eV/f.u.

POSCAR file:
```
Y3TmPt2
1.0
-4.7569 0.0733 0.4376
-0.0095 -7.0635 1.0790
0.8193 1.3254 8.6839
Y Tm Pt
6 2 4
direct
0.0000 0.9906 0.0834
0.0000 0.3561 0.3332
0.0000 0.8561 0.6668
0.5000 0.6436 0.1697
0.5000 0.1436 0.8303
0.0000 0.4906 0.9166
0.5000 0.0090 0.4147
0.5000 0.5090 0.5853
0.0000 0.7620 0.3450
0.0000 0.2620 0.6550
0.5000 0.2386 0.1580
0.5000 0.7386 0.8420
```

***

5.
The following is a GGA-PBE calculation of ScCr2Cl after structural relaxation, from Alexandria via LeMat-Bulk.

polymorph energy (0 for the lowest one)	280	meV/atom
total moment	0.000	μB per atom
ΔE_f (raw)	0.09	eV/atom
space group	C2/m (12)
N(E_F)	3.72	states/eV/f.u.

POSCAR file:
```
ScCr2Cl
1.0
5.7151 0.0732 -0.2833
4.8557 3.0149 -0.2833
-0.9885 -0.2888 3.8056
Cl Sc Cr
1 1 2
direct
0.2500 0.2500 0.2500
0.7500 0.7500 0.7500
0.4691 0.4691 0.5418
0.0309 0.0309 0.9582
```

***

6.
The following is a GGA-PBE calculation of TbTmGa4 after structural relaxation, from Alexandria via LeMat-Bulk.

polymorph energy (0 for the lowest one)	0	meV/atom
total moment	0.000	μB per atom
space group	P6/mmm (191)
N(E_F)	3.18	states/eV/f.u.
formation energy	-3.74	eV/f.u.

POSCAR file:
```
TbTmGa4
1.0
-0.8909 -2.5555 3.2234
3.7281 1.9456 -0.1749
-3.0864 6.2855 4.1302
Ga Tb Tm
4 1 1
direct
0.3333 0.6667 0.7538
0.3333 0.6667 0.2462
0.6667 0.3333 0.2462
0.6667 0.3333 0.7538
0.0000 0.0000 0.5000
0.0000 0.0000 0.0000
```

***

7.
The following is a GGA-PBE calculation of CaBi2OsC after structural relaxation, from Alexandria via LeMat-Bulk.

total moment	0.000	μB per atom
space group	P4/mmm (123)
N(E_F)	3.07	states/eV/f.u.
formation energy	2.04	eV/f.u.

POSCAR file:
```
CaBi2OsC
1.0
5.3033 0.0000 0.0000
0.0000 3.9438 0.0000
0.0000 0.0000 5.3033
C Bi Os Ca
1 2 1 1
direct
0.0000 0.0000 0.0000
0.0000 0.0000 0.5000
0.5000 0.0000 0.0000
0.0000 0.5000 0.0000
0.5000 0.5000 0.5000
```

***

8.
The following is a GGA-PBE calculation of KInRhI2 after structural relaxation, from Alexandria via LeMat-Bulk.

total moment	0.200	μB per atom
ΔE_f (raw)	0.48	eV/atom
space group	P4/mmm (123)
N(E_F)	2.79	states/eV/f.u.

POSCAR file:
```
KInRhI2
1.0
6.4182 0.0000 0.0000
0.0000 5.1627 0.0000
0.0000 0.0000 6.4182
K I Rh In
1 2 1 1
direct
0.0000 0.0000 0.0000
0.0000 0.0000 0.5000
0.5000 0.0000 0.0000
0.0000 0.5000 0.0000
0.5000 0.5000 0.5000
```

***

9.
The following is a GGA-PBE calculation of Ag4OsRh after structural relaxation, from Alexandria via LeMat-Bulk.

total moment	0.462	μB per atom
space group	F-43m (216)
N(E_F)	2.73	states/eV/f.u.
formation energy	5.21	eV/f.u.

POSCAR file:
```
Ag4OsRh
1.0
0.0000 3.7287 3.7287
3.7287 0.0000 3.7287
3.7287 3.7287 0.0000
Ag Os Rh
4 1 1
direct
0.8750 0.3750 0.3750
0.3750 0.3750 0.3750
0.3750 0.8750 0.3750
0.3750 0.3750 0.8750
0.7500 0.7500 0.7500
0.0000 0.0000 0.0000
```

***

10.
The following is a GGA-PBE calculation of Mg14NiC after structural relaxation, from Alexandria via LeMat-Bulk.

polymorph energy (0 for the lowest one)	0	meV/atom
total moment	0.000	μB per atom
space group	Amm2 (38)
N(E_F)	5.92	states/eV/f.u.
formation energy	2.29	eV/f.u.

POSCAR file:
```
Mg14NiC
1.0
-1.9776 6.1210 -0.9149
-3.5044 -3.4886 -4.2147
-5.8143 -1.0286 5.6859
Mg Ni C
14 1 1
direct
0.0646 0.9354 0.2108
0.5911 0.7904 0.6795
0.6997 0.3003 0.6894
0.5911 0.7904 0.3205
0.6997 0.3003 0.3106
0.3310 0.0292 0.5000
0.3942 0.2238 0.0000
0.8426 0.1574 0.0000
0.0646 0.9354 0.7892
0.7762 0.6058 0.0000
0.3137 0.6863 0.0000
0.2096 0.4089 0.3205
0.9708 0.6690 0.5000
0.2096 0.4089 0.6795
0.9230 0.0770 0.5000
0.3188 0.6812 0.5000
```

***

11.
The following is a GGA-PBE calculation of TaMnTl after structural relaxation, from Alexandria via LeMat-Bulk.

polymorph energy (0 for the lowest one)	128	meV/atom
total moment	0.529	μB per atom
space group	P3m1 (156)
N(E_F)	1.96	states/eV/f.u.
formation energy	1.64	eV/f.u.

POSCAR file:
```
TaMnTl
1.0
-1.4177 -4.3196 0.5884
4.0404 1.3384 1.7026
-1.3080 0.7696 2.4989
Tl Ta Mn
1 1 1
direct
0.3333 0.6667 0.7462
0.6667 0.3333 0.2708
0.0000 0.0000 0.9830
```

***

12.
The following is a GGA-PBE calculation of HgPb3N after structural relaxation, from Alexandria via LeMat-Bulk.

polymorph energy (0 for the lowest one)	1101	meV/atom
total moment	0.000	μB per atom
ΔE_f (raw)	1.60	eV/atom
space group	Pm-3m (221)
N(E_F)	3.98	states/eV/f.u.

POSCAR file:
```
HgPb3N
1.0
5.6583 0.0000 0.0000
0.0000 5.6583 0.0000
0.0000 0.0000 5.6583
N Pb Hg
1 3 1
direct
0.5000 0.5000 0.5000
0.0000 0.0000 0.5000
0.5000 0.0000 0.0000
0.0000 0.5000 0.0000
0.0000 0.0000 0.0000
```